Computed, not measured: LaMgIrRh after structural relaxation at the GGA-PBE level of DFT.

Summary:
Symmetry: F-43m, No. 216
Calculated formation energy in eV/atom: -0.452

a b c (Å): 4.7869 4.7869 4.7869
angles (deg): 60.00 60.00 60.00
Closest atoms and distances in Å follow each position.
Positions (direct):
La1 0.0000 0.0000 0.0000  4 Rh 2.93, 4 Ir 2.93
Mg1 0.5000 0.5000 0.5000  4 Ir 2.93, 4 Rh 2.93
Ir1 0.7500 0.7500 0.7500  4 La 2.93, 4 Mg 2.93
Rh1 0.2500 0.2500 0.2500  4 La 2.93, 4 Mg 2.93